[1]
Crystalline Tl2GaCu2 at its relaxed geometry. Source: the Alexandria database, functional PBE-GGA.

a b c (Å): 4.586 4.586 6.352
angles (deg): 68.84 68.84 90.00
Fractional coordinates of all 5 atoms:
Tl: 0.750 0.250 0.500
Tl: 0.250 0.750 0.500
Cu: 0.607 0.607 0.785
Cu: 0.393 0.393 0.215
Ga: 0.000 0.000 0.000

Values from the calculation:
* VASP energy: -13.88 eV/cell
* DOS at the Fermi energy: 2.31 states/eV/f.u.
* SG: I4/mmm, No. 139
* magnetization: 0.0 μB/cell
* formation energy from the elements: 0.415 eV per atom
* polymorph energy (0 for the lowest one): 0.210 eV/atom

[2]
Crystalline Ti2Cr2Rh at its relaxed geometry. Source: the Alexandria database, functional PBE-GGA.

a b c (Å): 6.858 6.858 3.049
angles (deg): 90.00 90.00 90.00
Fractional coordinates of all 10 atoms:
Rh: 0.000 0.000 0.000
Rh: 0.500 0.500 0.000
Cr: 0.899 0.601 0.000
Cr: 0.101 0.399 0.000
Cr: 0.601 0.101 0.000
Cr: 0.399 0.899 0.000
Ti: 0.698 0.802 0.500
Ti: 0.198 0.698 0.500
Ti: 0.802 0.302 0.500
Ti: 0.302 0.198 0.500

Values from the calculation:
* VASP energy: -84.67 eV/cell
* DOS at the Fermi energy: 8.28 states/eV/f.u.
* SG: P4/mbm, No. 127
* magnetization: 0.0 μB/cell
* formation energy from the elements: 0.011 eV per atom

[3]
Crystalline La5Tb3Er at its relaxed geometry. Source: the Alexandria database, functional PBE-GGA.

a b c (Å): 9.478 9.478 9.800
angles (deg): 118.92 118.92 90.00
Fractional coordinates of all 18 atoms:
La: 0.067 0.567 0.730
La: 0.500 0.500 0.000
La: 0.433 0.337 0.270
La: 0.837 0.933 0.270
La: 0.663 0.163 0.730
La: 0.337 0.837 0.270
La: 0.933 0.433 0.270
La: 0.163 0.067 0.730
La: 0.000 0.000 0.000
La: 0.567 0.663 0.730
Er: 0.250 0.750 0.500
Er: 0.750 0.250 0.500
Tb: 0.250 0.250 0.500
Tb: 0.391 0.891 0.000
Tb: 0.109 0.391 0.000
Tb: 0.750 0.750 0.500
Tb: 0.609 0.109 0.000
Tb: 0.891 0.609 0.000

Values from the calculation:
* VASP energy: -80.80 eV/cell
* DOS at the Fermi energy: 15.87 states/eV/f.u.
* SG: I4/mcm, No. 140
* magnetization: 0.0 μB/cell
* formation energy from the elements: 0.299 eV per atom
* polymorph energy (0 for the lowest one): 0.150 eV/atom

[4]
Crystalline Y3TeAu at its relaxed geometry. Source: the Alexandria database, functional PBE-GGA.

a b c (Å): 5.518 5.518 5.518
angles (deg): 90.00 90.00 90.00
Fractional coordinates of all 5 atoms:
Y: 0.000 0.500 0.000
Y: 0.000 0.000 0.500
Y: 0.500 0.000 0.000
Te: 0.500 0.500 0.500
Au: 0.000 0.000 0.000

Values from the calculation:
* VASP energy: -27.90 eV/cell
* DOS at the Fermi energy: 0.09 states/eV/f.u.
* SG: Pm-3m, No. 221
* magnetization: 0.0 μB/cell
* uncorrected formation energy: -2.09 eV per formula unit
* polymorph energy (0 for the lowest one): 0.454 eV/atom

[5]
Crystalline RePbW2 at its relaxed geometry. Source: the Alexandria database, functional PBE-GGA.

a b c (Å): 4.104 2.992 6.687
angles (deg): 63.94 90.00 90.00
Fractional coordinates of all 4 atoms:
W: 0.000 0.050 0.994
W: 0.500 0.270 0.204
Re: 0.500 0.688 0.802
Pb: 0.000 0.493 0.500

Values from the calculation:
* VASP energy: -39.14 eV/cell
* DOS at the Fermi energy: 2.60 states/eV/f.u.
* SG: Pm, No. 6
* magnetization: 0.0 μB/cell
* formation energy from the elements: 0.730 eV per atom

[6]
Crystalline Y4ZrTc at its relaxed geometry. Source: the Alexandria database, functional PBE-GGA.

a b c (Å): 6.083 6.083 6.083
angles (deg): 60.00 60.00 60.00
Site moments in Bohr magnetons follow the coordinates.
Fractional coordinates of all 6 atoms:
Y: 0.375 0.375 0.876  0.01
Y: 0.375 0.375 0.375  0.01
Y: 0.375 0.876 0.375  0.01
Y: 0.876 0.375 0.375  0.01
Zr: 0.750 0.750 0.750  -0.06
Tc: 0.000 0.000 0.000  0.39

Values from the calculation:
* VASP energy: -39.59 eV/cell
* DOS at the Fermi energy: 12.04 states/eV/f.u.
* SG: F-43m, No. 216
* magnetization: 0.4 μB/cell
* formation energy from the elements: 0.863 eV per atom

[7]
Crystalline Cd2SiP at its relaxed geometry. Source: the Alexandria database, functional PBE-GGA.

a b c (Å): 3.262 3.262 7.866
angles (deg): 90.00 90.00 90.00
Fractional coordinates of all 4 atoms:
Cd: 0.500 0.500 0.250
Cd: 0.000 0.000 0.999
Si: 0.500 0.500 0.581
P: 0.000 0.000 0.670

Values from the calculation:
* VASP energy: -12.33 eV/cell
* DOS at the Fermi energy: 2.37 states/eV/f.u.
* SG: P4mm, No. 99
* magnetization: 0.0 μB/cell
* uncorrected formation energy: 0.34 eV per formula unit
* polymorph energy (0 for the lowest one): 0.019 eV/atom

[8]
Crystalline Zr2TeCl at its relaxed geometry. Source: the Alexandria database, functional PBE-GGA.

a b c (Å): 5.074 5.074 5.074
angles (deg): 60.00 60.00 60.00
Site moments in Bohr magnetons follow the coordinates.
Fractional coordinates of all 4 atoms:
Te: 0.750 0.750 0.750  -0.03
Zr: 0.250 0.250 0.250  0.52
Zr: 0.000 0.000 0.000  0.38
Cl: 0.500 0.500 0.500  0.01

Values from the calculation:
* VASP energy: -21.84 eV/cell
* DOS at the Fermi energy: 5.26 states/eV/f.u.
* SG: F-43m, No. 216
* magnetization: 1.3 μB/cell
* uncorrected formation energy: 0.24 eV per formula unit
* polymorph energy (0 for the lowest one): 0.923 eV/atom

[9]
Crystalline KNdCu2F8 at its relaxed geometry. Source: the Alexandria database, functional PBE-GGA.

a b c (Å): 5.756 5.756 6.774
angles (deg): 115.14 115.14 90.00
Site moments in Bohr magnetons follow the coordinates.
Fractional coordinates of all 12 atoms:
F: 0.021 0.962 0.590  0.07
F: 0.372 0.979 0.410  0.07
F: 0.570 0.628 0.590  0.07
F: 0.038 0.430 0.410  0.07
F: 0.732 0.335 0.875  0.06
F: 0.665 0.857 0.125  0.06
F: 0.143 0.541 0.875  0.06
F: 0.459 0.268 0.125  0.06
K: 0.000 0.000 0.000  0.00
Nd: 0.750 0.250 0.500  0.02
Cu: 0.250 0.750 0.500  0.71
Cu: 0.500 0.500 0.000  0.72

Values from the calculation:
* VASP energy: -59.73 eV/cell
* SG: I-4, No. 82
* magnetization: 2.0 μB/cell
* uncorrected formation energy: -30.70 eV per formula unit

[10]
Crystalline ScCu2HAu at its relaxed geometry. Source: the Alexandria database, functional PBE-GGA.

a b c (Å): 4.011 4.011 4.101
angles (deg): 90.00 90.00 90.00
Fractional coordinates of all 5 atoms:
Cu: 0.000 0.500 0.000
Cu: 0.500 0.000 0.000
H: 0.000 0.000 0.000
Sc: 0.000 0.000 0.500
Au: 0.500 0.500 0.500

Values from the calculation:
* VASP energy: -22.26 eV/cell
* DOS at the Fermi energy: 2.72 states/eV/f.u.
* SG: P4/mmm, No. 123
* magnetization: 0.0 μB/cell

[11]
Crystalline Tl2CrRh at its relaxed geometry. Source: the Alexandria database, functional PBE-GGA.

a b c (Å): 4.747 4.747 4.747
angles (deg): 60.00 60.00 60.00
Site moments in Bohr magnetons follow the coordinates.
Fractional coordinates of all 4 atoms:
Tl: 0.250 0.250 0.250  -0.03
Tl: 0.750 0.750 0.750  -0.03
Cr: 0.000 0.000 0.000  3.51
Rh: 0.500 0.500 0.500  0.03

Values from the calculation:
* VASP energy: -20.35 eV/cell
* DOS at the Fermi energy: 2.83 states/eV/f.u.
* SG: Fm-3m, No. 225
* magnetization: 3.7 μB/cell
* formation energy from the elements: 0.339 eV per atom
* polymorph energy (0 for the lowest one): 0.050 eV/atom

[12]
Crystalline Co3Ni7 at its relaxed geometry. Source: the Alexandria database, functional PBE-GGA.

a b c (Å): 3.509 4.977 6.586
angles (deg): 100.17 105.45 90.00
Site moments in Bohr magnetons follow the coordinates.
Fractional coordinates of all 10 atoms:
Ni: 0.599 0.798 0.198  0.69
Ni: 0.600 0.299 0.200  0.74
Ni: 0.200 0.099 0.399  0.73
Ni: 0.800 0.901 0.601  0.73
Ni: 0.401 0.202 0.802  0.69
Ni: 0.000 0.500 0.000  0.74
Ni: 0.400 0.701 0.800  0.74
Co: 0.797 0.402 0.594  1.75
Co: 0.000 0.000 0.000  1.78
Co: 0.203 0.598 0.406  1.75

Values from the calculation:
* VASP energy: -61.79 eV/cell
* DOS at the Fermi energy: 12.01 states/eV/f.u.
* SG: C2/m, No. 12
* magnetization: 10.0 μB/cell
* formation energy from the elements: -0.001 eV per atom